Record 1
Computed, not measured: crystalline Tb3Cu8Ag at its relaxed geometry at the PBE-GGA level of DFT.

Values from the calculation:
Density of states at the Fermi level: 0.755 states/eV/atom
E_form: -4.32 kcal/mol of atoms

Cell lengths 5.163, 5.163, 9.016 Å; angles 73.36, 73.36, 60.00 degrees
Positions (direct):
Cu  0.938  0.437  0.686
Cu  0.433  0.433  0.189
Cu  0.686  0.686  0.941
Cu  0.433  0.945  0.189
Tb  0.991  0.991  0.026
Cu  0.938  0.938  0.686
Tb  0.379  0.379  0.863
Cu  0.945  0.433  0.189
Cu  0.437  0.938  0.686
Ag  0.872  0.872  0.385
Tb  0.508  0.508  0.476
Cu  0.188  0.188  0.436

=====

Record 2
Computed, not measured: crystalline RbPdBr6 at its relaxed geometry at the PBE-GGA level of DFT.

Values from the calculation:
Energy relative to the elements, uncorrected: -509 meV/atom
Density of states at the Fermi level: 1.087 states/eV/atom
Offset from the most stable computed form: 0.000 eV per atom

Cell lengths 7.222, 7.222, 7.361 Å; angles 104.61, 112.34, 110.82 degrees
Positions (direct):
Br  0.357  0.379  0.269
Rb  0.000  0.500  0.500
Br  0.110  0.088  0.731
Br  0.244  0.823  0.066
Br  0.756  0.177  0.934
Br  0.643  0.621  0.731
Pd  0.000  0.000  0.000
Br  0.890  0.912  0.269

=====

Record 3
Computed, not measured: crystalline AsHIr3 at its relaxed geometry at the PBE-GGA level of DFT.

Values from the calculation:
Density of states at the Fermi level: 1.151 states/eV/atom
Offset from the most stable computed form: 1.495 eV per atom

Cell lengths 4.565, 4.565, 4.565 Å; angles 90.00, 90.00, 90.00 degrees
Positions (direct):
H  0.500  0.500  0.500
As  0.000  0.000  0.000
Ir  0.000  0.000  0.500
Ir  0.000  0.500  0.000
Ir  0.500  0.000  0.000

=====

Record 4
Computed, not measured: crystalline CaTbTlPb at its relaxed geometry at the PBE-GGA level of DFT.

Values from the calculation:
Density of states at the Fermi level: 0.484 states/eV/atom
Offset from the most stable computed form: 0.000 eV per atom
E_form: -9.89 kcal/mol of atoms

Cell lengths 4.202, 5.189, 5.292 Å; angles 90.00, 90.00, 90.00 degrees
Positions (direct):
Tb  0.500  0.000  0.500
Ca  0.500  0.500  0.000
Pb  0.000  0.500  0.500
Tl  0.000  0.000  0.000

=====

Record 5
Computed, not measured: crystalline Pr8Mg3Co2 at its relaxed geometry at the PBE-GGA level of DFT.

Values from the calculation:
Density of states at the Fermi level: 1.180 states/eV/atom
E_form: 1.49 kcal/mol of atoms

Cell lengths 6.135, 7.564, 9.690 Å; angles 112.97, 103.50, 90.00 degrees
Positions (direct):
Mg  0.000  0.822  0.000
Pr  0.175  0.102  0.689
Pr  0.648  0.809  0.617
Pr  0.825  0.413  0.311
Pr  0.290  0.598  0.197
Pr  0.175  0.587  0.689
Mg  0.000  0.178  0.000
Pr  0.825  0.898  0.311
Co  0.151  0.733  0.466
Pr  0.352  0.191  0.383
Pr  0.710  0.402  0.803
Co  0.849  0.267  0.534
Mg  0.500  0.000  0.000

=====

Record 6
Computed, not measured: crystalline ErTaGe2O8 at its relaxed geometry at the PBE-GGA level of DFT.

Values from the calculation:
Energy relative to the elements, uncorrected: -2379 meV/atom
Density of states at the Fermi level: 0.000 states/eV/atom

Cell lengths 5.742, 5.742, 5.742 Å; angles 107.30, 107.30, 113.90 degrees
Positions (direct):
O  0.934  0.236  0.302
Er  0.250  0.750  0.500
Ge  0.750  0.250  0.500
O  0.294  0.471  0.177
O  0.764  0.066  0.698
O  0.368  0.066  0.302
O  0.294  0.118  0.823
Ta  0.000  0.000  0.000
O  0.882  0.706  0.177
Ge  0.500  0.500  0.000
O  0.934  0.632  0.698
O  0.529  0.706  0.823

=====

Record 7
Computed, not measured: crystalline Tb8Pr3Nd at its relaxed geometry at the PBE-GGA level of DFT.

Values from the calculation:
Density of states at the Fermi level: 1.462 states/eV/atom
E_form: 13.79 kcal/mol of atoms

Cell lengths 8.433, 8.433, 8.433 Å; angles 94.91, 117.21, 117.21 degrees
Positions (direct):
Tb  0.000  0.754  0.251
Pr  0.500  0.750  0.250
Tb  0.000  0.876  0.626
Pr  0.500  0.250  0.750
Tb  0.000  0.251  0.754
Tb  0.750  0.124  0.124
Pr  0.000  0.500  0.500
Tb  0.498  0.246  0.246
Tb  0.000  0.626  0.876
Tb  0.502  0.749  0.749
Tb  0.250  0.374  0.374
Nd  0.000  0.000  0.000

=====

Record 8
Computed, not measured: crystalline NaAc2RhO5 at its relaxed geometry at the PBE-GGA level of DFT.

Values from the calculation:
Energy relative to the elements, uncorrected: -2099 meV/atom

Cell lengths 7.173, 7.173, 7.907 Å; angles 116.97, 116.97, 90.00 degrees
Positions (direct):
Ac  0.682  0.182  0.000
O  0.000  0.000  0.000
O  0.752  0.252  0.751
Ac  0.182  0.318  0.000
O  0.748  0.001  0.249
Na  0.250  0.250  0.500
O  0.501  0.248  0.249
O  0.500  0.500  0.000
O  0.248  0.748  0.249
O  0.001  0.501  0.249
O  0.999  0.499  0.751
Rh  0.250  0.750  0.500
O  0.499  0.752  0.751
Ac  0.318  0.818  0.000
Na  0.750  0.750  0.500
Ac  0.818  0.682  0.000
O  0.252  0.999  0.751
Rh  0.750  0.250  0.500

=====

Record 9
Computed, not measured: crystalline TbY3Mg2 at its relaxed geometry at the PBE-GGA level of DFT.

Values from the calculation:
Density of states at the Fermi level: 1.397 states/eV/atom
E_form: -1.32 kcal/mol of atoms

Cell lengths 3.676, 3.676, 12.956 Å; angles 90.00, 90.00, 90.00 degrees
Positions (direct):
Y  0.000  0.000  0.000
Tb  0.500  0.500  0.500
Y  0.000  0.000  0.311
Mg  0.500  0.500  0.846
Mg  0.500  0.500  0.154
Y  0.000  0.000  0.689

=====

Record 10
Computed, not measured: crystalline BBr at its relaxed geometry at the PBE-GGA level of DFT.

Values from the calculation:
Energy relative to the elements, uncorrected: 88 meV/atom
Offset from the most stable computed form: 0.415 eV per atom

Cell lengths 3.310, 3.284, 7.673 Å; angles 90.00, 101.80, 90.00 degrees
Positions (direct):
B  0.021  0.250  0.544
B  0.979  0.750  0.456
Br  0.611  0.250  0.735
Br  0.389  0.750  0.265

=====

Record 11
Computed, not measured: crystalline Sr2SbPb2 at its relaxed geometry at the PBE-GGA level of DFT.

Values from the calculation:
Energy relative to the elements, uncorrected: -517 meV/atom
Density of states at the Fermi level: 0.376 states/eV/atom
Offset from the most stable computed form: 0.000 eV per atom

Cell lengths 8.389, 8.389, 4.934 Å; angles 90.00, 90.00, 90.00 degrees
Positions (direct):
Pb  0.870  0.630  0.000
Sr  0.325  0.175  0.500
Sb  0.500  0.500  0.000
Sb  0.000  0.000  0.000
Sr  0.825  0.325  0.500
Pb  0.370  0.870  0.000
Pb  0.130  0.370  0.000
Pb  0.630  0.130  0.000
Sr  0.175  0.675  0.500
Sr  0.675  0.825  0.500

=====

Record 12
Computed, not measured: crystalline Y4ZnCuRu2 at its relaxed geometry at the PBE-GGA level of DFT.

Values from the calculation:
Density of states at the Fermi level: 0.850 states/eV/atom
E_form: -7.62 kcal/mol of atoms

Cell lengths 4.903, 4.903, 8.495 Å; angles 73.23, 73.23, 60.00 degrees
Positions (direct):
Zn  0.000  0.000  0.000
Y  0.126  0.126  0.621
Y  0.874  0.874  0.379
Cu  0.500  0.500  0.500
Ru  0.749  0.749  0.752
Ru  0.251  0.251  0.248
Y  0.623  0.623  0.130
Y  0.377  0.377  0.870

=====

Record 13
Computed, not measured: crystalline SmY4Bi5 at its relaxed geometry at the PBE-GGA level of DFT.

Values from the calculation:
Density of states at the Fermi level: 0.207 states/eV/atom
E_form: -20.82 kcal/mol of atoms

Cell lengths 4.498, 6.360, 11.900 Å; angles 105.50, 100.89, 90.00 degrees
Positions (direct):
Y  0.600  0.600  0.200
Bi  0.398  0.898  0.796
Y  0.400  0.400  0.800
Bi  0.800  0.300  0.601
Bi  0.200  0.700  0.399
Sm  0.000  0.000  0.000
Bi  0.000  0.500  0.000
Y  0.201  0.201  0.402
Y  0.799  0.799  0.598
Bi  0.602  0.102  0.204

=====

Record 14
Computed, not measured: crystalline LaNb2FeRe at its relaxed geometry at the PBE-GGA level of DFT.

Values from the calculation:
Density of states at the Fermi level: 2.207 states/eV/atom
E_form: 35.30 kcal/mol of atoms

Cell lengths 4.853, 5.474, 4.853 Å; angles 90.00, 90.00, 90.00 degrees
Each line ends with the local moment (μB).
Positions (direct):
La  0.000  0.500  0.000  0.01
Fe  0.500  0.500  0.500  0.06
Re  0.000  0.000  0.000  -0.01
Nb  0.000  0.000  0.500  0.07
Nb  0.500  0.000  0.000  0.16

=====

Record 15
Computed, not measured: crystalline TbZr2Pa at its relaxed geometry at the PBE-GGA level of DFT.

Values from the calculation:
Density of states at the Fermi level: 1.685 states/eV/atom
Offset from the most stable computed form: 0.031 eV per atom
E_form: 3.28 kcal/mol of atoms

Cell lengths 3.340, 3.340, 10.864 Å; angles 81.15, 81.15, 60.04 degrees
Positions (direct):
Pa  0.667  0.667  0.000
Zr  0.080  0.080  0.760
Zr  0.253  0.253  0.240
Tb  0.500  0.500  0.500

=====

Record 16
Computed, not measured: crystalline ZrMo2Br at its relaxed geometry at the PBE-GGA level of DFT.

Values from the calculation:
Energy relative to the elements, uncorrected: 601 meV/atom
Density of states at the Fermi level: 1.786 states/eV/atom
Offset from the most stable computed form: 0.486 eV per atom

Cell lengths 8.875, 8.875, 8.875 Å; angles 20.56, 20.56, 20.56 degrees
Positions (direct):
Br  0.750  0.750  0.750
Mo  0.000  0.000  0.000
Zr  0.250  0.250  0.250
Mo  0.500  0.500  0.500

=====

Record 17
Computed, not measured: crystalline Ho2GePd at its relaxed geometry at the PBE-GGA level of DFT.

Values from the calculation:
Density of states at the Fermi level: 0.286 states/eV/atom
E_form: -20.76 kcal/mol of atoms

Cell lengths 4.311, 5.816, 7.744 Å; angles 110.32, 90.00, 90.00 degrees
Positions (direct):
Pd  0.250  0.351  0.711
Ho  0.750  0.218  0.439
Ge  0.750  0.676  0.794
Ho  0.250  0.777  0.083
Ge  0.250  0.324  0.206
Ho  0.250  0.782  0.561
Pd  0.750  0.649  0.289
Ho  0.750  0.223  0.917

=====

Record 18
Computed, not measured: crystalline Pb2WCl at its relaxed geometry at the PBE-GGA level of DFT.

Values from the calculation:
Energy relative to the elements, uncorrected: 525 meV/atom
Density of states at the Fermi level: 0.737 states/eV/atom
Offset from the most stable computed form: 0.175 eV per atom

Cell lengths 3.470, 3.470, 9.627 Å; angles 85.96, 85.96, 53.42 degrees
Positions (direct):
Cl  0.750  0.750  0.750
Pb  0.976  0.976  0.006
Pb  0.524  0.524  0.494
W  0.250  0.250  0.250

=====

Record 19
Computed, not measured: crystalline Cs3IrSe at its relaxed geometry at the PBE-GGA level of DFT.

Values from the calculation:
Energy relative to the elements, uncorrected: 270 meV/atom
Density of states at the Fermi level: 1.218 states/eV/atom
Offset from the most stable computed form: 0.000 eV per atom

Cell lengths 5.888, 5.888, 5.888 Å; angles 90.00, 90.00, 90.00 degrees
Each line ends with the local moment (μB).
Positions (direct):
Cs  0.000  0.500  0.000  0.00
Ir  0.000  0.000  0.000  0.05
Cs  0.000  0.000  0.500  0.00
Se  0.500  0.500  0.500  0.07
Cs  0.500  0.000  0.000  0.00

=====

Record 20
Computed, not measured: crystalline LiGeAs at its relaxed geometry at the PBE-GGA level of DFT.

Values from the calculation:
Density of states at the Fermi level: 0.273 states/eV/atom
Offset from the most stable computed form: 0.132 eV per atom
E_form: -3.14 kcal/mol of atoms

Cell lengths 3.505, 3.505, 5.228 Å; angles 109.59, 109.59, 90.00 degrees
Positions (direct):
As  0.974  0.974  0.948
Ge  0.592  0.592  0.185
Li  0.284  0.284  0.567

=====

Record 21
Computed, not measured: crystalline Hg3H4Ir at its relaxed geometry at the PBE-GGA level of DFT.

Values from the calculation:
Density of states at the Fermi level: 0.184 states/eV/atom

Cell lengths 4.064, 8.109, 6.285 Å; angles 130.17, 108.86, 90.00 degrees
Positions (direct):
H  0.276  0.659  0.319
H  0.807  0.406  0.615
H  0.807  0.209  0.615
Ir  0.968  0.468  0.937
Hg  0.479  0.246  0.957
H  0.043  0.659  0.319
Hg  0.990  0.990  0.979
Hg  0.479  0.711  0.957

=====

Record 22
Computed, not measured: crystalline Te2IN2 at its relaxed geometry at the PBE-GGA level of DFT.

Values from the calculation:
Energy relative to the elements, uncorrected: 1705 meV/atom
Density of states at the Fermi level: 1.034 states/eV/atom
Offset from the most stable computed form: 1.397 eV per atom

Cell lengths 4.184, 4.184, 8.041 Å; angles 90.00, 90.00, 90.00 degrees
Each line ends with the local moment (μB).
Positions (direct):
Te  0.000  0.000  0.500  0.01
N  0.500  0.000  0.000  0.45
I  0.000  0.000  0.000  0.01
N  0.000  0.500  0.000  0.45
Te  0.500  0.500  0.500  0.01

=====

Record 23
Computed, not measured: crystalline AlTcS at its relaxed geometry at the PBE-GGA level of DFT.

Values from the calculation:
Energy relative to the elements, uncorrected: -1 meV/atom
Density of states at the Fermi level: 0.375 states/eV/atom

Cell lengths 4.336, 4.336, 6.603 Å; angles 70.83, 70.83, 60.00 degrees
Positions (direct):
Tc  0.564  0.564  0.309
S  0.281  0.281  0.158
Al  0.867  0.867  0.400
S  0.719  0.719  0.842
Tc  0.436  0.436  0.691
Al  0.133  0.133  0.600

=====

Record 24
Computed, not measured: crystalline InRhWI2 at its relaxed geometry at the PBE-GGA level of DFT.

Values from the calculation:
Energy relative to the elements, uncorrected: 1293 meV/atom
Density of states at the Fermi level: 0.794 states/eV/atom

Cell lengths 5.445, 5.109, 5.445 Å; angles 90.00, 90.00, 90.00 degrees
Each line ends with the local moment (μB).
Positions (direct):
Rh  0.000  0.000  0.000  -0.14
I  0.500  0.000  0.000  -0.01
I  0.000  0.000  0.500  0.01
W  0.500  0.500  0.500  3.48
In  0.000  0.500  0.000  0.02

=====

Record 25
Computed, not measured: crystalline Ce2MgOs2 at its relaxed geometry at the PBE-GGA level of DFT.

Values from the calculation:
Density of states at the Fermi level: 1.129 states/eV/atom
E_form: -4.01 kcal/mol of atoms

Cell lengths 4.553, 5.413, 5.661 Å; angles 63.04, 61.81, 68.81 degrees
Positions (direct):
Mg  0.500  0.500  0.000
Os  0.942  0.221  0.277
Ce  0.298  0.205  0.708
Ce  0.702  0.795  0.292
Os  0.058  0.779  0.723

=====

| no. | total energy (eV per atom) | theoretical density (g/cm3) |
| --- | --- | --- |
| 1 | -4.31 | 9.24 |
| 2 | -2.53 | 3.76 |
| 3 | -5.12 | 11.39 |
| 4 | -3.61 | 8.79 |
| 5 | -4.34 | 5.47 |
| 6 | -7.82 | 7.11 |
| 7 | -4.08 | 6.94 |
| 8 | -6.73 | 7.02 |
| 9 | -4.59 | 4.50 |
| 10 | -4.09 | 3.69 |
| 11 | -3.50 | 6.80 |
| 12 | -6.55 | 6.84 |
| 13 | -5.90 | 8.01 |
| 14 | -7.66 | 7.30 |
| 15 | -7.66 | 9.20 |
| 16 | -7.37 | 7.99 |
| 17 | -5.64 | 9.28 |
| 18 | -5.03 | 11.34 |
| 19 | -2.71 | 5.45 |
| 20 | -3.86 | 4.54 |
| 21 | -2.71 | 9.24 |
| 22 | -3.19 | 4.84 |
| 23 | -6.08 | 5.24 |
| 24 | -3.94 | 7.18 |
| 25 | -7.36 | 10.57 |